# 1
Computed, not measured: a geometry-optimized Ac2AlHg6 structure at the PBE level of DFT.

crystal system: monoclinic
E_form: -355 meV/atom
space group: No. 12

Unit cell a=5.9802 b=6.8269 c=6.8269 alpha=59.95 beta=89.93 gamma=89.93
Closest atoms and distances in Å follow each position.
Sites, in units of the cell vectors:
Ac 0.8086 0.6665 0.6665  12 Hg 3.48-3.52
Ac 0.1914 0.3335 0.3335  12 Hg 3.48-3.52
Hg 0.6907 0.1771 0.1771  1 Al 2.79, 2 Hg 3.09
Hg 0.3093 0.8229 0.8229  1 Al 2.79, 2 Hg 3.09
Hg 0.3096 0.8234 0.3535  1 Al 2.79, 2 Hg 3.09
Hg 0.6904 0.1766 0.6465  1 Al 2.79, 2 Hg 3.09
Hg 0.6904 0.6465 0.1766  1 Al 2.79, 2 Hg 3.09
Hg 0.3096 0.3535 0.8234  1 Al 2.79, 2 Hg 3.09
Al 0.0000 0.0000 0.0000  6 Hg 2.79

---

# 2
Computed, not measured: a geometry-optimized AcAlHg structure at the PBE level of DFT.

crystal system: cubic
energy above the lowest structure with this stoichiometry: 0.48 eV per formula unit
E_form: -256 meV/atom
space group: No. 216

Unit cell a=5.1034 b=5.1034 c=5.1034 alpha=60.00 beta=60.00 gamma=60.00
Closest atoms and distances in Å follow each position.
Sites, in units of the cell vectors:
Hg 0.2500 0.2500 0.2500  4 Ac 3.13, 4 Al 3.13
Al 0.0000 0.0000 0.0000  4 Hg 3.13
Ac 0.5000 0.5000 0.5000  4 Hg 3.13

---

Look up the E_form of the first one.
-355 meV/atom

---

Which of these has the highest E_form?
AcAlHg

---

The lowest E_form belongs to which entry?
Ac2AlHg6

---

The lowest E_form belongs to which entry?
Ac2AlHg6